Compound: Mg2ZnW
Source: Alexandria via LeMat-Bulk
Functional: PBE-GGA
Structure: relaxed

Geometry as extended XYZ:
```
4
Lattice="4.0145 0.0000 0.0000 0.0000 4.0145 0.0000 0.0000 0.0000 4.1450" Properties=species:S:1:pos:R:3 pbc="T T T"
Mg 0.0000 2.0073 0.0000
Mg 2.0073 0.0000 0.0000
Zn 0.0000 0.0000 2.0725
W 2.0073 2.0073 2.0725
```

Summary:
Formation energy from the elements in eV/f.u.: 1.5
Density of states at the Fermi level in states/eV/f.u.: 1.96
Spin magnetization in μB per formula unit: 0.0